The following is a PBE calculation of an optimized crystal structure of Na2MgH2Br2, from the Alexandria database.

The density comes out at 2841 kg/m3. Its density of states at the Fermi level is 0.000 states/eV/cell. The calculation puts the total DFT energy (no corrections) at -2.922 eV per atom. The value obtained for the total magnetic moment is 0.00 μB per formula unit.

The structure belongs to space group I4/mmm (No. 139); the cell edges are 4.0271, 4.0271 and 16.7303 Å and the angles 90.00°, 90.00° and 90.00°. Symmetry generates all atoms from Na at (0.0000, 0.0000, 0.1195), Mg at (0.0000, 0.0000, 0.5000), H at (0.0000, 0.5000, 0.0000) and Br at (0.0000, 0.0000, 0.3388).